Here is a relaxed Tc2OsRhN crystal from Alexandria via LeMat-Bulk. Energies are from GGA-PBEsol.

Output
The value obtained for the uncorrected formation energy is 9.9 eV/f.u.

The structure in POSCAR format:
```
Tc2OsRhN
1.0
4.7501 0.0000 0.0000
0.0000 4.7501 0.0000
0.0000 0.0000 3.4408
Tc Os Rh N
2 1 1 1
Direct
0.0000 0.5000 0.0000
0.5000 0.0000 0.0000
0.0000 0.0000 0.5000
0.5000 0.5000 0.0000
0.5000 0.5000 0.5000
```